Entry 1:
A plane-wave DFT calculation with SCAN was carried out for Ba2InHg at its PBEsol-relaxed geometry.

abc: 4.0878 5.7399 11.7338
angles: 90.00 90.00 90.00
Space group Imm2 (No. 44)
Inequivalent atoms, fractional coordinates:
Ba: 0.0000 0.0000 0.0000 (multiplicity 2)
Ba: 0.0000 0.5000 0.1909 (multiplicity 2)
In: 0.0000 0.0000 0.4244 (multiplicity 2)
Hg: 0.0000 0.5000 0.7449 (multiplicity 2)

Computed properties:
The volume is 34.41 Å³/atom. As for the magnetization: 0.00 Bohr magnetons per cell. Its formation energy is -0.536 eV per atom. As for the density of states at the Fermi level: 5.497 states/eV/cell.

=====

Entry 2:
A plane-wave DFT calculation with SCAN was carried out for Ta2AlCo2 at its PBEsol-relaxed geometry.

abc: 6.7855 6.7855 3.0521
angles: 90.00 90.00 90.00
Space group P4/mbm (No. 127)
Inequivalent atoms, fractional coordinates:
Ta: 0.1715 0.3285 0.0000 (multiplicity 4)
Al: 0.0000 0.0000 0.5000 (multiplicity 2)
Co: 0.1284 0.6284 0.5000 (multiplicity 4)

Computed properties:
The volume is 14.05 Å³/atom. As for the magnetization: 0.69 Bohr magnetons per cell. Its formation energy is -0.254 eV per atom. As for the density of states at the Fermi level: 5.690 states/eV/cell.